Compound: MgZnNi
Source: the Alexandria database
Functional: GGA-PBEsol
Structure: optimized geometry

CIF file:
```
data_MgZnNi
_chemical_formula_sum 'Mg2 Zn2 Ni2'
_space_group_name_H-M_alt 'I 4 m m'
_space_group_IT_number 107
_space_group_name_Hall 'I 4 -2'
_cell_length_a 3.0130
_cell_length_b 3.0130
_cell_length_c 9.1953
_cell_angle_alpha 90.00
_cell_angle_beta 90.00
_cell_angle_gamma 90.00
loop_
_atom_site_label
_atom_site_type_symbol
_atom_site_fract_x
_atom_site_fract_y
_atom_site_fract_z
Mg1 Mg 0.0000 0.0000 0.0000
Zn1 Zn 0.0000 0.0000 0.6989
Ni1 Ni 0.0000 0.0000 0.3286
```

E_form	-0.16	eV per atom
total moment	0.0	μB/cell
density	5.90	g/cm3